Compound: CaBH2
Source: Alexandria
Functional: SCAN
Structure: single point on PBEsol structure

Output
As for the space group: I4_1/amd, No. 141. The size of the total moment comes out at 0.00 μB per formula unit.

a = 3.8867 Å, b = 3.8867 Å, c = 5.6262 Å
α = 110.21°, β = 110.21°, γ = 90.00°
Positions (direct):
H: 0.6250 0.3750 0.7500
H: 0.6250 0.8750 0.2500
H: 0.6250 0.3750 0.2500
H: 0.1250 0.3750 0.7500
B: 0.5000 0.5000 0.0000
B: 0.7500 0.2500 0.5000
Ca: 0.2500 0.7500 0.5000
Ca: 0.0000 0.0000 0.0000


Compound: CaB2H2
Source: Alexandria
Functional: SCAN
Structure: single point on PBEsol structure

Output
As for the space group: Cmc2_1, No. 36. The size of the total moment comes out at 0.00 μB per formula unit.

a = 3.1936 Å, b = 4.4920 Å, c = 7.7144 Å
α = 90.00°, β = 90.00°, γ = 110.82°
Positions (direct):
Ca: 0.1576 0.3152 0.0506
Ca: 0.8424 0.6848 0.5506
B: 0.8769 0.7537 0.2028
B: 0.1231 0.2463 0.7028
B: 0.5853 0.1706 0.7709
B: 0.4147 0.8294 0.2709
H: 0.8353 0.6707 0.0449
H: 0.5176 0.0351 0.9160
H: 0.1647 0.3293 0.5449
H: 0.4824 0.9649 0.4160


Compound: Li4CaB10H4O20
Source: Alexandria
Functional: SCAN
Structure: single point on PBEsol structure

Output
As for the space group: Pnc2, No. 30. The size of the total moment comes out at 0.00 μB per formula unit.

a = 8.2990 Å, b = 8.7855 Å, c = 9.2988 Å
α = 90.00°, β = 90.00°, γ = 90.00°
Positions (direct):
O: 0.0980 0.9030 0.9137
O: 0.7813 0.6737 0.1708
O: 0.5722 0.1926 0.8453
O: 0.1008 0.4059 0.6038
O: 0.3250 0.1758 0.9696
O: 0.0980 0.5970 0.4137
O: 0.3993 0.8994 0.1733
O: 0.3940 0.0919 0.3568
O: 0.1794 0.8394 0.3299
O: 0.3993 0.6006 0.6733
O: 0.2446 0.8339 0.6415
O: 0.9020 0.4030 0.4137
O: 0.7554 0.1661 0.6415
O: 0.9339 0.8202 0.4558
O: 0.2187 0.1737 0.6708
O: 0.4278 0.8074 0.8453
O: 0.1794 0.6606 0.8299
O: 0.6060 0.5919 0.8568
O: 0.2446 0.6661 0.1415
O: 0.2187 0.3263 0.1708
O: 0.6750 0.6758 0.4696
O: 0.9339 0.6798 0.9558
O: 0.8992 0.5941 0.6038
O: 0.0661 0.3202 0.9558
O: 0.7813 0.8263 0.6708
O: 0.8206 0.3394 0.8299
O: 0.4278 0.6926 0.3453
O: 0.8206 0.1606 0.3299
O: 0.9020 0.0970 0.9137
O: 0.5722 0.3074 0.3453
O: 0.6007 0.3994 0.6733
O: 0.1008 0.0941 0.1038
O: 0.3940 0.4081 0.8568
O: 0.0661 0.1798 0.4558
O: 0.6060 0.9081 0.3568
O: 0.6750 0.8242 0.9696
O: 0.6007 0.1006 0.1733
O: 0.7554 0.3339 0.1415
O: 0.8992 0.9059 0.1038
O: 0.3250 0.3242 0.4696
H: 0.6841 0.6126 0.1579
H: 0.3159 0.1126 0.6579
H: 0.6841 0.8874 0.6579
H: 0.3086 0.6545 0.0539
H: 0.6914 0.3455 0.0539
H: 0.3086 0.8455 0.5539
H: 0.6914 0.1545 0.5539
H: 0.3159 0.3874 0.1579
B: 0.0000 0.0000 0.0160
B: 0.0000 0.5000 0.5160
B: 0.9281 0.2517 0.9027
B: 0.4297 0.2600 0.8881
B: 0.3172 0.7757 0.2445
B: 0.5000 0.5000 0.7598
B: 0.1816 0.2263 0.0476
B: 0.8184 0.7263 0.5476
B: 0.5703 0.7400 0.8881
B: 0.6828 0.2757 0.7445
B: 0.9281 0.2483 0.4027
B: 0.0719 0.7483 0.9027
B: 0.6828 0.2243 0.2445
B: 0.5703 0.7600 0.3881
B: 0.5000 0.0000 0.2598
B: 0.1816 0.2737 0.5476
B: 0.0719 0.7517 0.4027
B: 0.3172 0.7243 0.7445
B: 0.4297 0.2400 0.3881
B: 0.8184 0.7737 0.0476
Ca: 0.0000 0.5000 0.1669
Ca: 0.0000 0.0000 0.6669
Li: 0.3250 0.9547 0.9833
Li: 0.6750 0.4547 0.4833
Li: 0.3250 0.5453 0.4833
Li: 0.1760 0.4431 0.7953
Li: 0.1760 0.0569 0.2953
Li: 0.6750 0.0453 0.9833
Li: 0.8240 0.9431 0.2953
Li: 0.8240 0.5569 0.7953


Compound: CaMgB6H22O22
Source: Alexandria
Functional: SCAN
Structure: single point on PBEsol structure

Output
As for the space group: C2/c, No. 15. The size of the total moment comes out at 0.00 μB per formula unit.

a = 6.8995 Å, b = 6.8995 Å, c = 18.9698 Å
α = 89.98°, β = 89.98°, γ = 64.19°
Positions (direct):
O: 0.4534 0.8176 0.8387
O: 0.5466 0.1824 0.1613
O: 0.1393 0.1161 0.5762
O: 0.6542 0.9374 0.6842
O: 0.6921 0.2147 0.0370
O: 0.3993 0.2870 0.4840
O: 0.7083 0.4020 0.8487
O: 0.3458 0.0626 0.3158
O: 0.3079 0.7853 0.9630
O: 0.2147 0.6921 0.5370
O: 0.3543 0.4664 0.8235
O: 0.8607 0.8839 0.4238
O: 0.0626 0.3458 0.8158
O: 0.1161 0.1393 0.0762
O: 0.6007 0.7130 0.5160
O: 0.0085 0.9594 0.1636
O: 0.8902 0.7761 0.7968
O: 0.2239 0.1098 0.7032
O: 0.7853 0.3079 0.4630
O: 0.0055 0.7394 0.0653
O: 0.2917 0.5980 0.1513
O: 0.1033 0.6172 0.3424
O: 0.1098 0.2239 0.2032
O: 0.0406 0.9915 0.3364
O: 0.9374 0.6542 0.1842
O: 0.7130 0.6007 0.0160
O: 0.4664 0.3543 0.3235
O: 0.8176 0.4534 0.3387
O: 0.6457 0.5336 0.1765
O: 0.7761 0.8902 0.2968
O: 0.3828 0.8967 0.1576
O: 0.7394 0.0055 0.5653
O: 0.9945 0.2606 0.9347
O: 0.1824 0.5466 0.6613
O: 0.4020 0.7083 0.3487
O: 0.5980 0.2917 0.6513
O: 0.9915 0.0406 0.8364
O: 0.9594 0.0085 0.6636
O: 0.2606 0.9945 0.4347
O: 0.6172 0.1033 0.8424
O: 0.2870 0.3993 0.9840
O: 0.5336 0.6457 0.6765
O: 0.8839 0.8607 0.9238
O: 0.8967 0.3828 0.6576
H: 0.7407 0.4460 0.4897
H: 0.8105 0.3464 0.4128
H: 0.1138 0.6050 0.0428
H: 0.0667 0.4948 0.6634
H: 0.4460 0.7407 0.9897
H: 0.4212 0.3298 0.1605
H: 0.3784 0.0671 0.6907
H: 0.4710 0.7121 0.5396
H: 0.2625 0.1159 0.2701
H: 0.6050 0.1138 0.5428
H: 0.5788 0.6702 0.8395
H: 0.7554 0.5979 0.1749
H: 0.3464 0.8105 0.9128
H: 0.9329 0.6216 0.8093
H: 0.3950 0.8862 0.4572
H: 0.9333 0.5052 0.3366
H: 0.2153 0.1974 0.0606
H: 0.8012 0.6549 0.0449
H: 0.4948 0.0667 0.1634
H: 0.5290 0.2879 0.4604
H: 0.1159 0.2625 0.7701
H: 0.4021 0.2446 0.3251
H: 0.1974 0.2153 0.5606
H: 0.5052 0.9333 0.8366
H: 0.3298 0.4212 0.6605
H: 0.1895 0.6536 0.5872
H: 0.6702 0.5788 0.3395
H: 0.8026 0.7847 0.4394
H: 0.8841 0.7375 0.2299
H: 0.7121 0.4710 0.0396
H: 0.0671 0.3784 0.1907
H: 0.2593 0.5540 0.5103
H: 0.5979 0.7554 0.6749
H: 0.7847 0.8026 0.9394
H: 0.7375 0.8841 0.7299
H: 0.2446 0.4021 0.8251
H: 0.6216 0.9329 0.3093
H: 0.2879 0.5290 0.9604
H: 0.1988 0.3451 0.9551
H: 0.3451 0.1988 0.4551
H: 0.6536 0.1895 0.0872
H: 0.8862 0.3950 0.9572
H: 0.5540 0.2593 0.0103
H: 0.6549 0.8012 0.5449
B: 0.0548 0.1534 0.6492
B: 0.6803 0.4382 0.6618
B: 0.9414 0.2575 0.8578
B: 0.3197 0.5618 0.3382
B: 0.1534 0.0548 0.1492
B: 0.9452 0.8466 0.3508
B: 0.5618 0.3197 0.8382
B: 0.7425 0.0586 0.6422
B: 0.8466 0.9452 0.8508
B: 0.2575 0.9414 0.3578
B: 0.0586 0.7425 0.1422
B: 0.4382 0.6803 0.1618
Ca: 0.2102 0.7898 0.7500
Ca: 0.7898 0.2102 0.2500
Mg: 0.0000 0.0000 0.0000
Mg: 0.0000 0.0000 0.5000


Compound: CaB2H10N2
Source: Alexandria
Functional: SCAN
Structure: single point on PBEsol structure

Output
As for the space group: C2, No. 5. The size of the total moment comes out at 0.00 μB per formula unit.

a = 4.1757 Å, b = 4.9647 Å, c = 6.3242 Å
α = 92.66°, β = 90.00°, γ = 114.87°
Positions (direct):
B: 0.8690 0.6613 0.7841
B: 0.2076 0.3387 0.2159
Ca: 0.5492 0.0000 0.0000
H: 0.1736 0.7058 0.7368
H: 0.3671 0.3153 0.6861
H: 0.8061 0.8574 0.6999
H: 0.9487 0.1426 0.3001
H: 0.4233 0.7253 0.4231
H: 0.6980 0.2747 0.5769
H: 0.8679 0.7076 0.9816
H: 0.4678 0.2942 0.2632
H: 0.1603 0.2924 0.0184
H: 0.0518 0.6847 0.3139
N: 0.6199 0.3401 0.7165
N: 0.2798 0.6599 0.2835


Compound: Ca2BHN2
Source: Alexandria
Functional: SCAN
Structure: single point on PBEsol structure

Output
As for the space group: Pnma, No. 62. The size of the total moment comes out at 0.00 μB per formula unit.

a = 3.6277 Å, b = 9.1030 Å, c = 9.9062 Å
α = 90.00°, β = 90.00°, γ = 90.00°
Positions (direct):
N: 0.2500 0.1522 0.4372
N: 0.2500 0.8223 0.2838
N: 0.7500 0.6777 0.7838
N: 0.7500 0.8478 0.5628
N: 0.2500 0.3223 0.2162
N: 0.2500 0.6522 0.0628
N: 0.7500 0.1777 0.7162
N: 0.7500 0.3478 0.9372
B: 0.7500 0.7653 0.6764
B: 0.7500 0.2653 0.8236
B: 0.2500 0.7347 0.1764
B: 0.2500 0.2347 0.3236
Ca: 0.7500 0.8231 0.9759
Ca: 0.7500 0.9747 0.3447
Ca: 0.2500 0.6769 0.4759
Ca: 0.2500 0.5253 0.8447
Ca: 0.7500 0.3231 0.5241
Ca: 0.2500 0.1769 0.0241
Ca: 0.2500 0.0253 0.6553
Ca: 0.7500 0.4747 0.1553
H: 0.7500 0.5407 0.3956
H: 0.7500 0.0407 0.1044
H: 0.2500 0.4593 0.6044
H: 0.2500 0.9593 0.8956


Compound: CaB2H13N3
Source: Alexandria
Functional: SCAN
Structure: single point on PBEsol structure

Output
As for the space group: P2_1/c, No. 14. The size of the total moment comes out at 0.00 μB per formula unit.

a = 6.9366 Å, b = 9.9170 Å, c = 10.0531 Å
α = 117.52°, β = 90.00°, γ = 90.00°
Positions (direct):
B: 0.5940 0.7319 0.3485
B: 0.5808 0.7681 0.8941
B: 0.0808 0.7319 0.1059
B: 0.0940 0.7681 0.6515
B: 0.9192 0.2681 0.8941
B: 0.9060 0.2319 0.3485
B: 0.4192 0.2319 0.1059
B: 0.4060 0.2681 0.6515
H: 0.0664 0.6056 0.2617
H: 0.4252 0.8189 0.9594
H: 0.6606 0.0593 0.7700
H: 0.6940 0.8498 0.4135
H: 0.4509 0.2793 0.2437
H: 0.2790 0.3418 0.4988
H: 0.5748 0.2309 0.6542
H: 0.3044 0.0071 0.0226
H: 0.5700 0.9461 0.6043
H: 0.1375 0.1388 0.0964
H: 0.8044 0.4929 0.9774
H: 0.4903 0.6203 0.4743
H: 0.6136 0.6511 0.9077
H: 0.5748 0.1811 0.0406
H: 0.6956 0.9929 0.9774
H: 0.5097 0.3797 0.5257
H: 0.8625 0.8612 0.9036
H: 0.3625 0.6388 0.0964
H: 0.9903 0.8797 0.5257
H: 0.1606 0.4407 0.2300
H: 0.9336 0.3944 0.7383
H: 0.8060 0.3498 0.4135
H: 0.3060 0.1502 0.5865
H: 0.9509 0.2207 0.7563
H: 0.4252 0.7691 0.3458
H: 0.0700 0.5539 0.3957
H: 0.6523 0.6683 0.2139
H: 0.1136 0.8489 0.0923
H: 0.0097 0.1203 0.4743
H: 0.0491 0.7793 0.2437
H: 0.0748 0.3189 0.9594
H: 0.1523 0.8317 0.7861
H: 0.7790 0.1582 0.5012
H: 0.9300 0.4461 0.6043
H: 0.4336 0.1056 0.2617
H: 0.3864 0.3489 0.0923
H: 0.0748 0.2691 0.3458
H: 0.8864 0.1511 0.9077
H: 0.9252 0.7309 0.6542
H: 0.9252 0.6811 0.0406
H: 0.8477 0.1683 0.2139
H: 0.8394 0.5593 0.7700
H: 0.6375 0.3612 0.9036
H: 0.4300 0.0539 0.3957
H: 0.3394 0.9407 0.2300
H: 0.2210 0.8418 0.4988
H: 0.7210 0.6582 0.5012
H: 0.1940 0.6502 0.5865
H: 0.5664 0.8944 0.7383
H: 0.5491 0.7207 0.7563
H: 0.1956 0.5071 0.0226
H: 0.3477 0.3317 0.7861
N: 0.7631 0.3882 0.9647
N: 0.3858 0.3745 0.5786
N: 0.7369 0.8882 0.9647
N: 0.9522 0.4864 0.7178
N: 0.5478 0.9864 0.7178
N: 0.1142 0.8745 0.5786
N: 0.2369 0.6118 0.0353
N: 0.4522 0.0136 0.2822
N: 0.8858 0.1255 0.4214
N: 0.2631 0.1118 0.0353
N: 0.0478 0.5136 0.2822
N: 0.6142 0.6255 0.4214
Ca: 0.2742 0.5995 0.7908
Ca: 0.7742 0.9005 0.2092
Ca: 0.2258 0.0995 0.7908
Ca: 0.7258 0.4005 0.2092


Compound: CaB4H20N2
Source: Alexandria
Functional: SCAN
Structure: single point on PBEsol structure

Output
As for the space group: Aea2, No. 41. The size of the total moment comes out at 0.00 μB per formula unit.

a = 7.6236 Å, b = 8.0230 Å, c = 7.6236 Å
α = 90.00°, β = 117.23°, γ = 90.00°
Positions (direct):
Ca: 0.6968 0.5000 0.6968
Ca: 0.1968 0.0000 0.1968
B: 0.9323 0.2265 0.9155
B: 0.9893 0.5568 0.5676
B: 0.9155 0.7735 0.9323
B: 0.4893 0.9432 0.0676
B: 0.5676 0.4432 0.9893
B: 0.0676 0.0568 0.4893
B: 0.4155 0.7265 0.4323
B: 0.4323 0.2735 0.4155
H: 0.5082 0.3611 0.8365
H: 0.1584 0.9319 0.4816
H: 0.4604 0.1279 0.4727
H: 0.4816 0.0681 0.1584
H: 0.9202 0.9068 0.6221
H: 0.5631 0.9047 0.8265
H: 0.3862 0.0477 0.7706
H: 0.9045 0.8255 0.0794
H: 0.9604 0.3721 0.9727
H: 0.8365 0.6389 0.5082
H: 0.1283 0.6460 0.6722
H: 0.3976 0.3537 0.5337
H: 0.5337 0.6463 0.3976
H: 0.9816 0.4319 0.6584
H: 0.0794 0.1745 0.9045
H: 0.4202 0.5932 0.1221
H: 0.7871 0.2127 0.7524
H: 0.6722 0.3540 0.1283
H: 0.2524 0.7127 0.2871
H: 0.6584 0.5681 0.9816
H: 0.1221 0.4068 0.4202
H: 0.1722 0.1460 0.6283
H: 0.8862 0.4523 0.2706
H: 0.7706 0.9523 0.3862
H: 0.2706 0.5477 0.8862
H: 0.8265 0.0953 0.5631
H: 0.5794 0.3255 0.4045
H: 0.0631 0.5953 0.3265
H: 0.6221 0.0932 0.9202
H: 0.7524 0.7873 0.7871
H: 0.6283 0.8540 0.1722
H: 0.3265 0.4047 0.0631
H: 0.4045 0.6745 0.5794
H: 0.0082 0.1389 0.3365
H: 0.4727 0.8721 0.4604
H: 0.9727 0.6279 0.9604
H: 0.2871 0.2873 0.2524
H: 0.3365 0.8611 0.0082
H: 0.0337 0.8537 0.8976
H: 0.8976 0.1463 0.0337
N: 0.8841 0.9986 0.5159
N: 0.3841 0.5014 0.0159
N: 0.0159 0.4986 0.3841
N: 0.5159 0.0014 0.8841


| no. | calculated total energy (eV/atom) |
| --- | --- |
| 1 | -5.70 |
| 2 | -6.61 |
| 3 | -8.41 |
| 4 | -6.95 |
| 5 | -5.68 |
| 6 | -9.37 |
| 7 | -5.60 |
| 8 | -5.07 |